[1]
# Ca2TlB (PBE, relaxed)
data_Ca2TlB
_cell_length_a 7.9647
_cell_length_b 7.9647
_cell_length_c 6.8587
_cell_angle_alpha 90.00
_cell_angle_beta 90.00
_cell_angle_gamma 90.00
_symmetry_space_group_name_H-M 'I -4 2 d'
_symmetry_Int_Tables_number 122
_symmetry_space_group_name_Hall 'I -4 2bw'
loop_
_atom_site_label
_atom_site_type_symbol
_atom_site_fract_x
_atom_site_fract_y
_atom_site_fract_z
Ca1 Ca 0.1811 0.2500 0.1250
Tl1 Tl 0.0000 0.0000 0.5000
B1 B 0.0000 0.0000 0.0000
# * density of states at the Fermi level: 11.12 states/eV/cell
# * E_tot: -0.2080 Ry/atom



[2]
# Ca2TlB (PBE, relaxed)
data_Ca2TlB
_cell_length_a 7.2401
_cell_length_b 7.2401
_cell_length_c 7.2401
_cell_angle_alpha 90.00
_cell_angle_beta 90.00
_cell_angle_gamma 90.00
_symmetry_space_group_name_H-M 'F m -3 m'
_symmetry_Int_Tables_number 225
_symmetry_space_group_name_Hall '-F 4 2 3'
loop_
_atom_site_label
_atom_site_type_symbol
_atom_site_fract_x
_atom_site_fract_y
_atom_site_fract_z
Ca1 Ca 0.2500 0.2500 0.2500
Tl1 Tl 0.0000 0.0000 0.0000
B1 B 0.0000 0.0000 0.5000
# * density of states at the Fermi level: 3.26 states/eV/cell
# * E_tot: -0.2162 Ry/atom



[3]
# CaTl3B (PBE, relaxed)
data_CaTl3B
_cell_length_a 5.0861
_cell_length_b 5.0861
_cell_length_c 5.0861
_cell_angle_alpha 90.00
_cell_angle_beta 90.00
_cell_angle_gamma 90.00
_symmetry_space_group_name_H-M 'P m -3 m'
_symmetry_Int_Tables_number 221
_symmetry_space_group_name_Hall '-P 4 2 3'
loop_
_atom_site_label
_atom_site_type_symbol
_atom_site_fract_x
_atom_site_fract_y
_atom_site_fract_z
Ca1 Ca 0.0000 0.0000 0.0000
Tl1 Tl 0.0000 0.5000 0.5000
B1 B 0.5000 0.5000 0.5000
# * density of states at the Fermi level: 3.64 states/eV/cell
# * E_tot: -0.1982 Ry/atom



[4]
# CaTl3B (PBE, relaxed)
data_CaTl3B
_cell_length_a 5.9414
_cell_length_b 5.9414
_cell_length_c 5.9414
_cell_angle_alpha 90.00
_cell_angle_beta 90.00
_cell_angle_gamma 90.00
_symmetry_space_group_name_H-M 'P m -3 m'
_symmetry_Int_Tables_number 221
_symmetry_space_group_name_Hall '-P 4 2 3'
loop_
_atom_site_label
_atom_site_type_symbol
_atom_site_fract_x
_atom_site_fract_y
_atom_site_fract_z
Ca1 Ca 0.0000 0.0000 0.0000
Tl1 Tl 0.0000 0.0000 0.5000
B1 B 0.5000 0.5000 0.5000
# * density of states at the Fermi level: 3.94 states/eV/cell
# * E_tot: -0.1288 Ry/atom



[5]
# CaTl2B (PBE, relaxed)
data_CaTl2B
_cell_length_a 8.1749
_cell_length_b 8.1749
_cell_length_c 5.7179
_cell_angle_alpha 90.00
_cell_angle_beta 90.00
_cell_angle_gamma 90.00
_symmetry_space_group_name_H-M 'I -4 2 d'
_symmetry_Int_Tables_number 122
_symmetry_space_group_name_Hall 'I -4 2bw'
loop_
_atom_site_label
_atom_site_type_symbol
_atom_site_fract_x
_atom_site_fract_y
_atom_site_fract_z
Ca1 Ca 0.0000 0.0000 0.0000
Tl1 Tl 0.1573 0.2500 0.6250
B1 B 0.0000 0.0000 0.5000
# * density of states at the Fermi level: 14.17 states/eV/cell
# * E_tot: -0.2180 Ry/atom



[6]
# Ca2YTlB (PBE, relaxed)
data_Ca2YTlB
_cell_length_a 6.3209
_cell_length_b 6.3209
_cell_length_c 4.4640
_cell_angle_alpha 90.00
_cell_angle_beta 90.00
_cell_angle_gamma 90.00
_symmetry_space_group_name_H-M 'P 4/m m m'
_symmetry_Int_Tables_number 123
_symmetry_space_group_name_Hall '-P 4 2'
loop_
_atom_site_label
_atom_site_type_symbol
_atom_site_fract_x
_atom_site_fract_y
_atom_site_fract_z
Ca1 Ca 0.0000 0.5000 0.0000
Y1 Y 0.0000 0.0000 0.0000
Tl1 Tl 0.5000 0.5000 0.5000
B1 B 0.0000 0.0000 0.5000
# * density of states at the Fermi level: 4.14 states/eV/cell
# * E_tot: -0.2176 Ry/atom



[7]
# CaTmB12 (PBE, relaxed)
data_CaTmB12
_cell_length_a 4.1108
_cell_length_b 4.1108
_cell_length_c 8.2261
_cell_angle_alpha 90.00
_cell_angle_beta 90.00
_cell_angle_gamma 90.00
_symmetry_space_group_name_H-M 'P 4/m m m'
_symmetry_Int_Tables_number 123
_symmetry_space_group_name_Hall '-P 4 2'
loop_
_atom_site_label
_atom_site_type_symbol
_atom_site_fract_x
_atom_site_fract_y
_atom_site_fract_z
Ca1 Ca 0.0000 0.0000 0.0000
Tm1 Tm 0.0000 0.0000 0.5000
B1 B 0.1999 0.5000 0.2524
B2 B 0.5000 0.5000 0.1011
B3 B 0.5000 0.5000 0.4013
# * density of states at the Fermi level: 1.18 states/eV/cell
# * E_tot: -0.4832 Ry/atom



[8]
# CaVB3 (PBE, relaxed)
data_CaVB3
_cell_length_a 4.0632
_cell_length_b 4.0632
_cell_length_c 4.0632
_cell_angle_alpha 90.00
_cell_angle_beta 90.00
_cell_angle_gamma 90.00
_symmetry_space_group_name_H-M 'P m -3 m'
_symmetry_Int_Tables_number 221
_symmetry_space_group_name_Hall '-P 4 2 3'
loop_
_atom_site_label
_atom_site_type_symbol
_atom_site_fract_x
_atom_site_fract_y
_atom_site_fract_z
Ca1 Ca 0.0000 0.0000 0.0000
V1 V 0.5000 0.5000 0.5000
B1 B 0.0000 0.5000 0.5000
# * density of states at the Fermi level: 0.63 states/eV/cell
# * E_tot: -0.4253 Ry/atom